## Th3AsOs (PBE-GGA)

Data for a relaxed structure of Th3AsOs.

## Properties
Electronic total energy = -8.19 eV per atom

a b c (Å): 8.4340 3.9442 8.8253
angles (deg): 90.00 102.96 90.00
Last column: nearest neighbours and their distance in Å.
Sites, in units of the cell vectors:
Th 0.0024 0.2500 0.1730  2 Os 2.97, 1 As 2.99
Th 0.2927 0.7500 0.5965  3 As 2.98-3.00, 2 Os 3.01
Th 0.3742 0.7500 0.1031  3 Os 2.97-2.98, 2 As 3.03
Th 0.6258 0.2500 0.8969  3 Os 2.97-2.98, 2 As 3.03
Th 0.7073 0.2500 0.4035  3 As 2.98-3.00, 2 Os 3.01
Th 0.9976 0.7500 0.8270  2 Os 2.97, 1 As 2.99
As 0.3463 0.2500 0.3563  6 Th 2.98-3.03
As 0.6537 0.7500 0.6437  6 Th 2.98-3.03
Os 0.2654 0.2500 0.8475  7 Th 2.97-3.01
Os 0.7346 0.7500 0.1525  7 Th 2.97-3.01



## ThAs12Os4 (PBE-GGA)

Data for a relaxed structure of ThAs12Os4.

## Properties
Electronic total energy = -6.74 eV per atom

a b c (Å): 7.4656 7.4656 7.4656
angles (deg): 109.47 109.47 109.47
Last column: nearest neighbours and their distance in Å.
Sites, in units of the cell vectors:
Th 0.0000 0.0000 0.0000  12 As 3.25
As 0.1493 0.3463 0.4957  2 Os 2.47, 2 As 2.57-2.65
As 0.1493 0.6537 0.8030  2 Os 2.47, 2 As 2.57-2.65
As 0.1970 0.8507 0.3463  2 Os 2.47, 2 As 2.57-2.65
As 0.3463 0.1970 0.8507  2 Os 2.47, 2 As 2.57-2.65
As 0.3463 0.4957 0.1493  2 Os 2.47, 2 As 2.57-2.65
As 0.4957 0.1493 0.3463  2 Os 2.47, 2 As 2.57-2.65
As 0.5043 0.8507 0.6537  2 Os 2.47, 2 As 2.57-2.65
As 0.6537 0.5043 0.8507  2 Os 2.47, 2 As 2.57-2.65
As 0.6537 0.8030 0.1493  2 Os 2.47, 2 As 2.57-2.65
As 0.8030 0.1493 0.6537  2 Os 2.47, 2 As 2.57-2.65
As 0.8507 0.3463 0.1970  2 Os 2.47, 2 As 2.57-2.65
As 0.8507 0.6537 0.5043  2 Os 2.47, 2 As 2.57-2.65
Os 0.0000 0.0000 0.5000  6 As 2.47
Os 0.0000 0.5000 0.0000  6 As 2.47
Os 0.5000 0.0000 0.0000  6 As 2.47
Os 0.5000 0.5000 0.5000  6 As 2.47



## Th2AsOs (PBE-GGA)

Data for a relaxed structure of Th2AsOs.

## Properties
Energy above the lowest structure with this stoichiometry = 41 meV/atom

a b c (Å): 5.9480 5.9480 11.8861
angles (deg): 90.00 90.00 90.00
Last column: nearest neighbours and their distance in Å.
Sites, in units of the cell vectors:
Th 0.0000 0.2500 0.1124  3 Os 2.82-2.98, 3 As 2.98-3.12
Th 0.0000 0.2500 0.6376  3 Os 2.82-2.98, 3 As 2.98-3.12
Th 0.0000 0.7500 0.3624  3 Os 2.82-2.98, 3 As 2.98-3.12
Th 0.0000 0.7500 0.8876  3 Os 2.82-2.98, 3 As 2.98-3.12
Th 0.5000 0.2500 0.3876  3 Os 2.82-2.98, 3 As 2.98-3.12
Th 0.5000 0.2500 0.8624  3 Os 2.82-2.98, 3 As 2.98-3.12
Th 0.5000 0.7500 0.1376  3 Os 2.82-2.98, 3 As 2.98-3.12
Th 0.5000 0.7500 0.6124  3 Os 2.82-2.98, 3 As 2.98-3.12
As 0.0000 0.2500 0.3750  6 Th 2.98-3.12
As 0.0000 0.7500 0.6250  6 Th 2.98-3.12
As 0.5000 0.2500 0.1250  6 Th 2.98-3.12
As 0.5000 0.7500 0.8750  6 Th 2.98-3.12
Os 0.0000 0.2500 0.8750  6 Th 2.82-2.98
Os 0.0000 0.7500 0.1250  6 Th 2.82-2.98
Os 0.5000 0.2500 0.6250  6 Th 2.82-2.98
Os 0.5000 0.7500 0.3750  6 Th 2.82-2.98



## Th2AsOs (PBE-GGA)

Data for a relaxed structure of Th2AsOs.

## Properties
Energy above the lowest structure with this stoichiometry = 0 meV/atom

a b c (Å): 4.0736 23.3529 4.2684
angles (deg): 90.00 90.00 90.00
Last column: nearest neighbours and their distance in Å.
Sites, in units of the cell vectors:
Th 0.0000 0.0616 0.2500  6 Os 2.97-3.27, 1 As 3.07
Th 0.0000 0.3250 0.2500  1 Os 2.97, 5 As 2.98-3.08
Th 0.0000 0.6750 0.7500  1 Os 2.97, 5 As 2.98-3.08
Th 0.0000 0.9384 0.7500  6 Os 2.97-3.27, 1 As 3.07
Th 0.5000 0.1750 0.7500  1 Os 2.97, 5 As 2.98-3.08
Th 0.5000 0.4384 0.7500  6 Os 2.97-3.27, 1 As 3.07
Th 0.5000 0.5616 0.2500  6 Os 2.97-3.27, 1 As 3.07
Th 0.5000 0.8250 0.2500  1 Os 2.97, 5 As 2.98-3.08
As 0.0000 0.1929 0.2500  6 Th 2.98-3.08
As 0.0000 0.8071 0.7500  6 Th 2.98-3.08
As 0.5000 0.3071 0.7500  6 Th 2.98-3.08
As 0.5000 0.6929 0.2500  6 Th 2.98-3.08
Os 0.0000 0.4521 0.2500  7 Th 2.97-3.27, 2 Os 3.09
Os 0.0000 0.5479 0.7500  7 Th 2.97-3.27, 2 Os 3.09
Os 0.5000 0.0479 0.7500  7 Th 2.97-3.27, 2 Os 3.09
Os 0.5000 0.9521 0.2500  7 Th 2.97-3.27, 2 Os 3.09